Density functional theory data (PBE) for a relaxed structure of Pd3Rh6W.

Values from the calculation:
- DOS at the Fermi energy (states/eV per cell) = 13.4
- final energy (eV per atom) = -7.07
- E_form (kcal/mol of atoms) = 4.47

The structure in CIF format:
```
data_Pd3Rh6W
_space_group_name_H-M_alt 'P 1'
_space_group_IT_number 1
_cell_length_a 5.137
_cell_length_b 5.137
_cell_length_c 6.870
_cell_angle_alpha 90.00
_cell_angle_beta 90.00
_cell_angle_gamma 120.00
loop_
_space_group_symop_operation_xyz
'x,y,z'
loop_
_atom_site_label
_atom_site_type_symbol
_atom_site_fract_x
_atom_site_fract_y
_atom_site_fract_z
Pd1 Pd 0.000 0.000 0.000
Pd2 Pd 0.333 0.667 0.000
Pd3 Pd 0.667 0.333 0.000
Rh1 Rh 0.000 0.415 0.317
Rh2 Rh 0.000 0.585 0.683
Rh3 Rh 0.415 0.000 0.317
Rh4 Rh 0.415 0.415 0.683
Rh5 Rh 0.585 0.000 0.683
Rh6 Rh 0.585 0.585 0.317
W1 W 0.000 0.000 0.500
```



Density functional theory data (PBE) for a relaxed structure of Li2IrRh.

Values from the calculation:
- DOS at the Fermi energy (states/eV per cell) = 4.6
- final energy (eV per atom) = -5.03
- ΔE to the lowest computed polymorph (meV/atom) = 194
- E_form (kcal/mol of atoms) = -0.53

The structure in CIF format:
```
data_Li2IrRh
_space_group_name_H-M_alt 'P 1'
_space_group_IT_number 1
_cell_length_a 2.554
_cell_length_b 4.163
_cell_length_c 5.196
_cell_angle_alpha 90.00
_cell_angle_beta 90.00
_cell_angle_gamma 90.00
loop_
_space_group_symop_operation_xyz
'x,y,z'
loop_
_atom_site_label
_atom_site_type_symbol
_atom_site_fract_x
_atom_site_fract_y
_atom_site_fract_z
Li1 Li 0.000 0.000 0.246
Li2 Li 0.000 0.000 0.754
Ir1 Ir 0.500 0.500 0.000
Rh1 Rh 0.500 0.500 0.500
```



Density functional theory data (PBE) for a relaxed structure of MgBiRh4.

Values from the calculation:
- DOS at the Fermi energy (states/eV per cell) = 3.9
- final energy (eV per atom) = -5.89
- E_form (kcal/mol of atoms) = -1.73

The structure in CIF format:
```
data_MgBiRh4
_space_group_name_H-M_alt 'P 1'
_space_group_IT_number 1
_cell_length_a 5.283
_cell_length_b 5.283
_cell_length_c 5.283
_cell_angle_alpha 60.00
_cell_angle_beta 60.00
_cell_angle_gamma 60.00
loop_
_space_group_symop_operation_xyz
'x,y,z'
loop_
_atom_site_label
_atom_site_type_symbol
_atom_site_fract_x
_atom_site_fract_y
_atom_site_fract_z
Mg1 Mg 0.000 0.000 0.000
Bi1 Bi 0.750 0.750 0.750
Rh1 Rh 0.375 0.375 0.375
Rh2 Rh 0.375 0.375 0.876
Rh3 Rh 0.375 0.876 0.375
Rh4 Rh 0.876 0.375 0.375
```



Density functional theory data (PBE) for a relaxed structure of ZrCoAg2.

Values from the calculation:
- DOS at the Fermi energy (states/eV per cell) = 5.2
- final energy (eV per atom) = -5.07
- ΔE to the lowest computed polymorph (meV/atom) = 253
- E_form (kcal/mol of atoms) = 6.18

The structure in CIF format:
```
data_ZrCoAg2
_space_group_name_H-M_alt 'P 1'
_space_group_IT_number 1
_cell_length_a 2.907
_cell_length_b 2.907
_cell_length_c 8.141
_cell_angle_alpha 90.00
_cell_angle_beta 90.00
_cell_angle_gamma 90.00
loop_
_space_group_symop_operation_xyz
'x,y,z'
loop_
_atom_site_label
_atom_site_type_symbol
_atom_site_fract_x
_atom_site_fract_y
_atom_site_fract_z
Zr1 Zr 0.000 0.000 0.000
Co1 Co 0.000 0.000 0.500
Ag1 Ag 0.500 0.500 0.281
Ag2 Ag 0.500 0.500 0.719
```



Density functional theory data (PBE) for a relaxed structure of AcNd2ErTl2.

Values from the calculation:
- DOS at the Fermi energy (states/eV per cell) = 14.5
- final energy (eV per atom) = -4.06
- E_form (kcal/mol of atoms) = -5.39

The structure in CIF format:
```
data_AcNd2ErTl2
_space_group_name_H-M_alt 'P 1'
_space_group_IT_number 1
_cell_length_a 5.199
_cell_length_b 10.345
_cell_length_c 7.335
_cell_angle_alpha 90.00
_cell_angle_beta 90.00
_cell_angle_gamma 90.00
loop_
_space_group_symop_operation_xyz
'x,y,z'
loop_
_atom_site_label
_atom_site_type_symbol
_atom_site_fract_x
_atom_site_fract_y
_atom_site_fract_z
Ac1 Ac 0.000 0.051 0.000
Ac2 Ac 0.000 0.949 0.500
Nd1 Nd 0.000 0.323 0.388
Nd2 Nd 0.000 0.677 0.888
Nd3 Nd 0.500 0.448 0.098
Nd4 Nd 0.500 0.552 0.598
Er1 Er 0.500 0.200 0.705
Er2 Er 0.500 0.800 0.205
Tl1 Tl 0.000 0.365 0.831
Tl2 Tl 0.000 0.635 0.331
Tl3 Tl 0.500 0.131 0.277
Tl4 Tl 0.500 0.869 0.777
```



Density functional theory data (PBE) for a relaxed structure of Pr5YHo2Tm.

Values from the calculation:
- DOS at the Fermi energy (states/eV per cell) = 26.5
- final energy (eV per atom) = -4.76
- E_form (kcal/mol of atoms) = 2.97

The structure in CIF format:
```
data_Pr5YHo2Tm
_space_group_name_H-M_alt 'P 1'
_space_group_IT_number 1
_cell_length_a 11.302
_cell_length_b 11.302
_cell_length_c 10.491
_cell_angle_alpha 90.00
_cell_angle_beta 90.00
_cell_angle_gamma 152.08
loop_
_space_group_symop_operation_xyz
'x,y,z'
loop_
_atom_site_label
_atom_site_type_symbol
_atom_site_fract_x
_atom_site_fract_y
_atom_site_fract_z
Pr1 Pr 0.000 0.000 0.000
Pr2 Pr 0.000 0.000 0.500
Pr3 Pr 0.123 0.877 0.750
Pr4 Pr 0.220 0.780 0.059
Pr5 Pr 0.220 0.780 0.441
Pr6 Pr 0.500 0.500 0.250
Pr7 Pr 0.500 0.500 0.750
Pr8 Pr 0.780 0.220 0.559
Pr9 Pr 0.780 0.220 0.941
Pr10 Pr 0.877 0.123 0.250
Y1 Y 0.101 0.899 0.250
Y2 Y 0.899 0.101 0.750
Ho1 Ho 0.385 0.615 0.001
Ho2 Ho 0.385 0.615 0.499
Ho3 Ho 0.615 0.385 0.501
Ho4 Ho 0.615 0.385 0.999
Tm1 Tm 0.287 0.713 0.750
Tm2 Tm 0.713 0.287 0.250
```